LiPuTcGe2 | GGA-PBE | relaxed

```
LiPuTcGe2
1.0
-3.357 2.190 -0.719
-2.079 -3.425 -0.728
1.373 0.303 6.040
Pu Li Ge Tc
1 1 2 1
Cartesian
0.000 0.000 0.000
-1.712 -1.870 2.294
-3.039 -0.692 0.546
-1.023 -0.239 4.046
-2.351 0.938 2.298
```

Results
ΔH_f (0 K) in eV per formula unit: -1.2